[1]
## P2PbW (PBEsol)

Data for a relaxed structure of P2PbW.

a = 4.6110 Å, b = 4.6110 Å, c = 3.2506 Å
α = 90.00°, β = 90.00°, γ = 103.12°
Closest atoms and distances in Å follow each position.
Sites, in units of the cell vectors:
P 0.0000 0.5000 0.0000  4 Pb 2.82, 4 W 2.82, 2 P 2.87
P 0.5000 0.0000 0.0000  4 Pb 2.82, 4 W 2.82, 2 P 2.87
Pb 0.0000 0.0000 0.5000  8 P 2.82, 2 W 2.87
W 0.5000 0.5000 0.5000  8 P 2.82, 2 Pb 2.87

## Properties
The total magnetization is 0.00 Bohr magnetons per cell. Its density of states at the Fermi level is 2.9 states/eV per cell. The calculated total energy comes out at -26.3 eV for the cell shown.


[2]
## YBeN2 (PBEsol)

Data for a relaxed structure of YBeN2.

a = 6.0384 Å, b = 6.0384 Å, c = 6.0384 Å
α = 29.88°, β = 29.88°, γ = 29.88°
Closest atoms and distances in Å follow each position.
Sites, in units of the cell vectors:
Y 0.0000 0.0000 0.0000  2 N 2.12
Be 0.5000 0.5000 0.5000  6 N 1.95
N 0.1227 0.1227 0.1227  3 Be 1.95, 1 Y 2.12
N 0.8773 0.8773 0.8773  3 Be 1.95, 1 Y 2.12

## Properties
The total magnetization is 0.00 Bohr magnetons per cell. Its density of states at the Fermi level is 2.7 states/eV per cell. The value obtained for the energy relative to the elements, uncorrected is 0.5386 eV per atom. The calculated total energy comes out at -25.7 eV for the cell shown.


[3]
## BeSb2Br (PBEsol)

Data for a relaxed structure of BeSb2Br.

a = 6.2792 Å, b = 6.2792 Å, c = 6.2792 Å
α = 149.48°, β = 133.99°, γ = 56.22°
Closest atoms and distances in Å follow each position.
Sites, in units of the cell vectors:
Be 0.0000 0.0000 0.0000  4 Sb 2.66, 4 Br 2.96
Sb 0.1877 0.6877 0.5000  2 Be 2.66
Sb 0.8123 0.3123 0.5000  2 Be 2.66
Br 0.5000 0.5000 0.0000  4 Be 2.96, 4 Sb 3.22, 2 Br 3.31

## Properties
The total magnetization is 0.00 Bohr magnetons per cell. Its density of states at the Fermi level is 1.4 states/eV per cell. The value obtained for the energy relative to the elements, uncorrected is 0.2252 eV per atom. The calculated total energy comes out at -14.1 eV for the cell shown.


[4]
## LiMg2Cd (PBEsol)

Data for a relaxed structure of LiMg2Cd.

a = 2.9738 Å, b = 4.7278 Å, c = 5.7382 Å
α = 90.00°, β = 100.50°, γ = 90.00°
Closest atoms and distances in Å follow each position.
Sites, in units of the cell vectors:
Li 0.0000 0.0000 0.0000  4 Mg 2.90, 2 Li 2.97, 2 Cd 2.98
Mg 0.2286 0.5000 0.7543  2 Li 2.90, 2 Cd 2.97, 4 Mg 2.97-2.99
Mg 0.7714 0.5000 0.2457  2 Li 2.90, 2 Cd 2.97, 4 Mg 2.97-2.99
Cd 0.5000 0.0000 0.5000  4 Mg 2.97, 2 Cd 2.97, 2 Li 2.98

## Properties
The total magnetization is 0.00 Bohr magnetons per cell. Its density of states at the Fermi level is 1.1 states/eV per cell. The calculated total energy comes out at -7.0 eV for the cell shown.


[5]
## Sb2RhCl (PBEsol)

Data for a relaxed structure of Sb2RhCl.

a = 4.8145 Å, b = 4.8145 Å, c = 4.8145 Å
α = 122.02°, β = 122.02°, γ = 86.53°
Closest atoms and distances in Å follow each position.
Sites, in units of the cell vectors:
Sb 0.2500 0.7500 0.5000  4 Cl 2.92, 4 Rh 2.92
Sb 0.7500 0.2500 0.5000  4 Cl 2.92, 4 Rh 2.92
Rh 0.0000 0.0000 0.0000  8 Sb 2.92
Cl 0.5000 0.5000 0.0000  8 Sb 2.92

## Properties
The total magnetization is 0.00 Bohr magnetons per cell. Its density of states at the Fermi level is 1.5 states/eV per cell. The value obtained for the energy relative to the elements, uncorrected is -0.0066 eV per atom. The calculated total energy comes out at -19.3 eV for the cell shown.


[6]
## Be2AlSiRu (PBEsol)

Data for a relaxed structure of Be2AlSiRu.

a = 4.1273 Å, b = 4.1273 Å, c = 4.4660 Å
α = 90.00°, β = 90.00°, γ = 90.00°
Closest atoms and distances in Å follow each position.
Sites, in units of the cell vectors:
Be 0.0000 0.5000 0.0000  2 Al 2.06
Be 0.5000 0.0000 0.0000  2 Al 2.06
Al 0.0000 0.0000 0.0000  4 Be 2.06, 2 Ru 2.23
Si 0.5000 0.5000 0.5000  4 Ru 2.92, 8 Be 3.04
Ru 0.0000 0.0000 0.5000  2 Al 2.23

## Properties
The total magnetization is 0.00 Bohr magnetons per cell. Its density of states at the Fermi level is 2.7 states/eV per cell. The value obtained for the energy relative to the elements, uncorrected is 1.2188 eV per atom. The calculated total energy comes out at -21.9 eV for the cell shown.


[7]
## SrTa2Mo (PBEsol)

Data for a relaxed structure of SrTa2Mo.

a = 3.0306 Å, b = 4.3463 Å, c = 6.9995 Å
α = 90.00°, β = 101.71°, γ = 90.00°
Closest atoms and distances in Å follow each position.
Sites, in units of the cell vectors:
Sr 0.0000 0.0000 0.0000  2 Sr 3.03, 2 Mo 3.23
Ta 0.3975 0.0000 0.5186  2 Mo 2.62, 2 Ta 2.79
Ta 0.7340 0.5000 0.3438  1 Mo 2.42
Mo 0.1506 0.5000 0.6783  3 Ta 2.42-2.62

## Properties
The total magnetization is 0.00 Bohr magnetons per cell. Its density of states at the Fermi level is 4.1 states/eV per cell. The calculated total energy comes out at -36.1 eV for the cell shown.


[8]
## Zn3BrCl (PBEsol)

Data for a relaxed structure of Zn3BrCl.

a = 5.2622 Å, b = 5.2622 Å, c = 5.2622 Å
α = 90.00°, β = 90.00°, γ = 90.00°
Closest atoms and distances in Å follow each position.
Sites, in units of the cell vectors:
Zn 0.0000 0.0000 0.5000  2 Br 2.63
Zn 0.0000 0.5000 0.0000  2 Br 2.63
Zn 0.5000 0.0000 0.0000  2 Br 2.63
Br 0.0000 0.0000 0.0000  6 Zn 2.63
Cl 0.5000 0.5000 0.5000  12 Zn 3.72

## Properties
The total magnetization is 0.00 Bohr magnetons per cell. Its density of states at the Fermi level is 2.0 states/eV per cell. The value obtained for the energy relative to the elements, uncorrected is 0.4905 eV per atom. The calculated total energy comes out at -6.2 eV for the cell shown.


[9]
## MnAg2Mo (PBEsol)

Data for a relaxed structure of MnAg2Mo.

a = 4.4306 Å, b = 4.4306 Å, c = 4.4306 Å
α = 60.00°, β = 60.00°, γ = 60.00°
Closest atoms and distances in Å follow each position.
Sites, in units of the cell vectors:
Mn 0.0000 0.0000 0.0000  4 Mo 2.71, 4 Ag 2.71
Ag 0.5000 0.5000 0.5000  4 Mo 2.71, 4 Ag 2.71
Ag 0.7500 0.7500 0.7500  4 Ag 2.71, 4 Mn 2.71
Mo 0.2500 0.2500 0.2500  4 Mn 2.71, 4 Ag 2.71

## Properties
The total magnetization is 1.49 Bohr magnetons per cell. Its density of states at the Fermi level is 4.2 states/eV per cell. The calculated total energy comes out at -25.7 eV for the cell shown.


[10]
## Ca2TiAlO5 (PBEsol)

Data for a relaxed structure of Ca2TiAlO5.

a = 8.1514 Å, b = 8.1514 Å, c = 8.1514 Å
α = 57.19°, β = 139.33°, γ = 141.57°
Closest atoms and distances in Å follow each position.
Sites, in units of the cell vectors:
Ca 0.0336 0.1098 0.1433  7 O 2.30-2.56
Ca 0.0336 0.3902 0.4238  7 O 2.30-2.56
Ca 0.9664 0.6098 0.5762  7 O 2.30-2.56
Ca 0.9664 0.8902 0.8567  7 O 2.30-2.56
Ti 0.5123 0.0123 0.5000  6 O 1.96-2.14
Ti 0.5123 0.5123 0.0000  6 O 1.96-2.14
Al 0.3929 0.7197 0.1733  4 O 1.75-1.82
Al 0.5464 0.2197 0.8267  4 O 1.75-1.82
O 0.0130 0.2738 0.7664  2 Ti 1.96
O 0.0130 0.7466 0.2392  2 Ti 1.96
O 0.2873 0.8894 0.8979  2 Al 1.81-1.82
O 0.4665 0.1851 0.5738  1 Al 1.75
O 0.4665 0.3927 0.7813  1 Al 1.75
O 0.5074 0.2466 0.2336  2 Ti 1.96
O 0.5074 0.7738 0.7608  2 Ti 1.96
O 0.6114 0.6851 0.2187  1 Al 1.75
O 0.6114 0.8927 0.4262  1 Al 1.75
O 0.9916 0.3894 0.1021  2 Al 1.81-1.82

## Properties
The total magnetization is 1.70 Bohr magnetons per cell. Its density of states at the Fermi level is 3.3 states/eV per cell. The value obtained for the energy relative to the elements, uncorrected is -3.0186 eV per atom. The calculated total energy comes out at -140.2 eV for the cell shown.